A relaxed YSc2Cd crystal. Source: the Alexandria database, functional GGA-PBE.

Symmetry = I4/mmm
DFT formation energy = -0.041 eV/atom

Cell lengths 5.741, 5.741, 5.741 Å; angles 132.64, 132.64, 69.22 degrees
Positions (direct):
1 Y 0.000 0.000 0.000
2 Sc 0.250 0.750 0.500
3 Sc 0.750 0.250 0.500
4 Cd 0.500 0.500 0.000